DFT (GGA-PBE) results for a relaxed structure of BaCa2LaAu4.

Values from the calculation:
Density ... 8.59 g cm⁻³
Magnetization ... 0.000 μB per atom
Formation enthalpy at 0 K ... -759 meV per atom
E_tot ... -3.755 eV per atom

Lattice parameters (Å, degrees): 5.2368 5.2368 9.7875 74.48 74.48 60.00
Last column: nearest neighbours and their distance in Å.
Atoms (fractional coordinates):
Ca 0.7551 0.7551 0.7348  7 Au 3.15-3.29
Ca 0.2449 0.2449 0.2652  7 Au 3.15-3.29
Au 0.8730 0.8730 0.3811  4 Ca 3.21-3.29, 3 La 3.22, 1 Ba 3.55
Au 0.6098 0.6098 0.1707  1 La 3.06, 3 Ca 3.15, 3 Ba 3.42
Au 0.3902 0.3902 0.8293  1 La 3.06, 3 Ca 3.15, 3 Ba 3.42
Au 0.1270 0.1270 0.6189  4 Ca 3.21-3.29, 3 La 3.22, 1 Ba 3.55
Ba 0.0000 0.0000 0.0000  8 Au 3.42-3.55
La 0.5000 0.5000 0.5000  8 Au 3.06-3.22

---

DFT (GGA-PBE) results for a relaxed structure of Nd6Ho2Er.

Values from the calculation:
Density ... 7.38 g cm⁻³
Magnetization ... 0.000 μB per atom
Formation enthalpy at 0 K ... 129 meV per atom
Polymorph energy (0 for the lowest one) ... 46 meV/atom
E_tot ... -4.574 eV per atom

Lattice parameters (Å, degrees): 3.6678 10.0410 10.0410 56.01 90.00 90.00
Last column: nearest neighbours and their distance in Å.
Atoms (fractional coordinates):
Nd 0.0000 0.5102 0.1591  6 Nd 3.31-3.67, 2 Ho 3.57
Nd 0.0000 0.8409 0.4898  6 Nd 3.31-3.67, 2 Ho 3.57
Nd 0.0000 0.1591 0.5102  6 Nd 3.31-3.67, 2 Ho 3.57
Nd 0.5000 0.6847 0.3153  7 Nd 3.46-3.67, 2 Er 3.49
Nd 0.0000 0.4898 0.8409  6 Nd 3.31-3.67, 2 Ho 3.57
Nd 0.5000 0.3153 0.6847  7 Nd 3.46-3.67, 2 Er 3.49
Er 0.0000 0.0000 0.0000  4 Nd 3.49, 4 Ho 3.62, 2 Er 3.67
Ho 0.5000 0.8241 0.8241  8 Nd 3.57-3.75, 2 Er 3.62, 2 Ho 3.67
Ho 0.5000 0.1759 0.1759  8 Nd 3.57-3.75, 2 Er 3.62, 2 Ho 3.67

---

DFT (GGA-PBE) results for a relaxed structure of Cs2Mn3Br8.

Values from the calculation:
Density ... 3.38 g cm⁻³
Magnetization ... 1.154 μB per atom
E_tot ... -4.358 eV per atom

Lattice parameters (Å, degrees): 6.8377 9.7722 9.7722 61.09 70.28 70.28
Last column: nearest neighbours and their distance in Å.
Atoms (fractional coordinates):
Br 0.8267 0.8659 0.8659  1 Mn 2.48
Br 0.6539 0.2938 0.8704  1 Mn 2.47
Br 0.6539 0.8704 0.2938  1 Mn 2.47
Br 0.3461 0.7062 0.1296  1 Mn 2.47
Br 0.1733 0.1341 0.1341  1 Mn 2.48
Br 0.0385 0.6042 0.6042  2 Mn 2.59
Br 0.3461 0.1296 0.7062  1 Mn 2.47
Br 0.9615 0.3958 0.3958  2 Mn 2.59
Mn 0.0000 0.3200 0.6800  4 Br 2.47-2.59
Mn 0.5000 0.0000 0.0000  2 Br 2.48
Mn 0.0000 0.6800 0.3200  4 Br 2.47-2.59
Cs 0.3940 0.7313 0.7313  7 Br 3.65-4.08
Cs 0.6060 0.2687 0.2687  7 Br 3.65-4.08

---

DFT (GGA-PBE) results for a relaxed structure of GaRhSN2.

Values from the calculation:
Density ... 5.11 g cm⁻³
Magnetization ... 0.119 μB per atom
Polymorph energy (0 for the lowest one) ... 0 meV/atom
E_tot ... -5.314 eV per atom

Lattice parameters (Å, degrees): 3.8061 3.8061 5.2183 90.00 90.00 90.00
Last column: nearest neighbours and their distance in Å.
Atoms (fractional coordinates):
N 0.5000 0.0000 0.0000  2 Rh 1.90
N 0.0000 0.5000 0.0000  2 Rh 1.90
S 0.0000 0.0000 0.5000  2 Rh 2.61, 4 Ga 2.69
Ga 0.5000 0.5000 0.5000  4 S 2.69
Rh 0.0000 0.0000 0.0000  4 N 1.90

---

DFT (GGA-PBE) results for a relaxed structure of Cs2PdI6.

Values from the calculation:
Density ... 4.72 g cm⁻³
Magnetization ... 0.000 μB per atom
E_tot ... -2.579 eV per atom

Lattice parameters (Å, degrees): 8.2616 8.2616 8.2616 60.00 60.00 60.00
Last column: nearest neighbours and their distance in Å.
Atoms (fractional coordinates):
I 0.2335 0.7665 0.2335  1 Pd 2.73
I 0.2335 0.7665 0.7665  1 Pd 2.73
I 0.2335 0.2335 0.7665  1 Pd 2.73
I 0.7665 0.7665 0.2335  1 Pd 2.73
I 0.7665 0.2335 0.7665  1 Pd 2.73
I 0.7665 0.2335 0.2335  1 Pd 2.73
Cs 0.7500 0.7500 0.7500  12 I 4.14
Cs 0.2500 0.2500 0.2500  12 I 4.14
Pd 0.0000 0.0000 0.0000  6 I 2.73

---

DFT (GGA-PBE) results for a relaxed structure of ZrNiBr2.

Values from the calculation:
Density ... 7.00 g cm⁻³
Magnetization ... 0.000 μB per atom
Polymorph energy (0 for the lowest one) ... 624 meV/atom
E_tot ... -4.497 eV per atom

Lattice parameters (Å, degrees): 3.3927 3.3923 6.3804 90.00 90.00 90.00
Last column: nearest neighbours and their distance in Å.
Atoms (fractional coordinates):
Zr 0.5000 0.5000 0.7500  8 Br 2.88, 2 Ni 3.19
Ni 0.5000 0.5000 0.2500  8 Br 2.88, 2 Zr 3.19
Br 0.0000 0.0000 0.5005  4 Zr 2.88, 4 Ni 2.88, 2 Br 3.18-3.20
Br 0.0000 0.0000 0.9995  4 Zr 2.88, 4 Ni 2.88, 2 Br 3.18-3.20